Computed, not measured: crystalline CsPr2CdO4 at its relaxed geometry at the PBE-GGA level of DFT.

Computed properties:
The value obtained for the energy is -6.0193 eV/atom. As for the space-group type: Cmcm (63). The value obtained for the formation energy from raw total energies is -2.124 eV/atom.

Cell lengths 6.7336, 6.7336, 13.6103 Å; angles 90.00, 90.00, 147.58 degrees
Sites, in units of the cell vectors:
Cs1 0.0762 0.9238 0.7500
Cs2 0.9238 0.0762 0.2500
Pr1 0.3647 0.6353 0.5502
Pr2 0.3647 0.6353 0.9498
Pr3 0.6353 0.3647 0.0502
Pr4 0.6353 0.3647 0.4498
Cd1 0.1952 0.8048 0.2500
Cd2 0.8048 0.1952 0.7500
O1 0.0000 0.0000 0.0000
O2 0.0000 0.0000 0.5000
O3 0.2433 0.7567 0.0773
O4 0.2433 0.7567 0.4227
O5 0.4083 0.5917 0.7500
O6 0.5917 0.4083 0.2500
O7 0.7567 0.2433 0.5773
O8 0.7567 0.2433 0.9227